[1]
Material: GaOsNO
Method: DFT, PBE
State: relaxed

a = 2.990 Å, b = 5.148 Å, c = 5.898 Å
α = 90.00°, β = 90.00°, γ = 90.00°
Sites, in units of the cell vectors:
Ga (0.000, 0.032, 0.625)
Os (0.500, 0.477, 0.914)
O (0.500, 0.851, 0.752)
N (0.000, 0.395, 0.681)
Ga (0.000, 0.532, 0.375)
Os (0.500, 0.977, 0.086)
O (0.500, 0.351, 0.248)
N (0.000, 0.895, 0.319)

Computed properties:
Its total energy is -56.10 eV per cell. As for the offset from the most stable computed form: 0.3415 eV per atom. The space-group type is Pmc2_1, No. 26.



[2]
Material: SrSnMo
Method: DFT, PBE
State: relaxed

a = 5.044 Å, b = 5.044 Å, c = 5.044 Å
α = 60.00°, β = 60.00°, γ = 60.00°
Sites, in units of the cell vectors:
Mo (0.000, 0.000, 0.000)
Sn (0.250, 0.250, 0.250)
Sr (0.750, 0.750, 0.750)

Computed properties:
Its total energy is -14.41 eV per cell. As for the offset from the most stable computed form: 0.0000 eV per atom. The space-group type is F-43m, No. 216.